VASP calculation (PBE) on a geometry-optimized PmPr2Tm9 structure.

a b c (Å): 5.0060 5.0060 15.0169
angles (deg): 90.00 90.00 90.00
With the nearest neighbours (Å) after each atom.
Space group P4/mmm (No. 123)
One atom of each set of equivalent atoms:
Pm1 0.0000 0.0000 0.0000 x1  12 Tm 3.53-3.54
Pr1 0.0000 0.0000 0.3332 x2  12 Tm 3.54-3.55
Tm1 0.0000 0.5000 0.1656 x4  2 Pm 3.53, 8 Tm 3.53-3.54, 2 Pr 3.55
Tm2 0.0000 0.5000 0.5000 x2  8 Tm 3.54-3.55, 4 Pr 3.54
Tm3 0.5000 0.5000 0.0000 x1  8 Tm 3.53, 4 Pm 3.54
Tm4 0.5000 0.5000 0.3327 x2  4 Pr 3.54, 8 Tm 3.54-3.55

Computed properties:
* energy above the most stable polymorph in this dataset: 0 meV/atom
* calculated total energy: -4.52 eV/atom
* energy of formation: 0.03 eV per atom
* theoretical density: 8592 kg/m³